(1)
Here is an optimized crystal structure of TaZnPd5 from Alexandria. Energies are from GGA-PBE.

## Properties
- V: 112.6 Å³/cell
- Energy of formation from the pure elements: -0.43 eV per atom
- Polymorph energy (0 for the lowest one): 0 meV/atom
- Calculated density: 11476 kg/m³
- Raw total energy: -42.110 eV for the cell shown

a b c (Å): 4.0118 4.0118 6.9985
angles (deg): 90.00 90.00 90.00
Last column: nearest neighbours and their distance in Å.
Fractional coordinates of all 7 atoms:
Ta 0.0000 0.0000 0.0000  12 Pd 2.76-2.84
Zn 0.5000 0.5000 0.5000  8 Pd 2.57
Pd 0.0000 0.5000 0.2709  2 Zn 2.57, 2 Ta 2.76, 6 Pd 2.76-2.84
Pd 0.0000 0.5000 0.7291  2 Zn 2.57, 2 Ta 2.76, 6 Pd 2.76-2.84
Pd 0.5000 0.0000 0.2709  2 Zn 2.57, 2 Ta 2.76, 6 Pd 2.76-2.84
Pd 0.5000 0.0000 0.7291  2 Zn 2.57, 2 Ta 2.76, 6 Pd 2.76-2.84
Pd 0.5000 0.5000 0.0000  8 Pd 2.76, 4 Ta 2.84

(2)
Here is an optimized crystal structure of YTiPd2 from Alexandria. Energies are from GGA-PBE.

## Properties
- V: 157.1 Å³/cell
- Energy of formation from the pure elements: 0.05 eV per atom
- Polymorph energy (0 for the lowest one): 685 meV/atom
- Calculated density: 7390 kg/m³
- Raw total energy: -49.123 eV for the cell shown

a b c (Å): 3.0035 5.0596 10.3392
angles (deg): 90.00 90.00 90.00
Last column: nearest neighbours and their distance in Å.
Fractional coordinates of all 8 atoms:
Y 0.0000 0.0000 0.0000  2 Pd 2.81, 4 Ti 2.94, 2 Y 3.00
Y 0.5000 0.5000 0.5000  2 Pd 2.81, 4 Ti 2.94, 2 Y 3.00
Ti 0.0000 0.0000 0.5000  2 Pd 2.36
Ti 0.5000 0.5000 0.0000  2 Pd 2.36
Pd 0.0000 0.0000 0.2715  1 Ti 2.36
Pd 0.0000 0.0000 0.7285  1 Ti 2.36
Pd 0.5000 0.5000 0.2285  1 Ti 2.36
Pd 0.5000 0.5000 0.7715  1 Ti 2.36

(3)
Here is an optimized crystal structure of Tb8TlBi5 from Alexandria. Energies are from GGA-PBE.

## Properties
- V: 419.1 Å³/cell
- Energy of formation from the pure elements: -0.68 eV per atom
- Calculated density: 9988 kg/m³
- Raw total energy: -68.371 eV for the cell shown

a b c (Å): 8.1653 8.1653 8.1653
angles (deg): 109.57 109.57 109.28
Last column: nearest neighbours and their distance in Å.
Fractional coordinates of all 14 atoms:
Tb 0.1248 0.3779 0.1090  1 Tl 3.12, 5 Bi 3.15-3.40
Tb 0.1260 0.3794 0.6037  5 Bi 3.16-3.40, 1 Tl 3.34
Tb 0.2689 0.0157 0.8910  1 Tl 3.12, 5 Bi 3.15-3.40
Tb 0.4777 0.8740 0.2534  5 Bi 3.16-3.40, 1 Tl 3.34
Tb 0.6206 0.2243 0.7466  5 Bi 3.16-3.40, 1 Tl 3.34
Tb 0.6221 0.7311 0.7468  1 Tl 3.12, 5 Bi 3.15-3.40
Tb 0.7757 0.5223 0.3963  5 Bi 3.16-3.40, 1 Tl 3.34
Tb 0.9843 0.8752 0.2532  1 Tl 3.12, 5 Bi 3.15-3.40
Tl 0.2500 0.7500 0.5000  8 Tb 3.12-3.34
Bi 0.3772 0.2508 0.3728  8 Tb 3.15-3.40
Bi 0.5000 0.5000 0.0000  8 Tb 3.17-3.40
Bi 0.7492 0.1221 0.1264  8 Tb 3.15-3.40
Bi 0.8779 0.0043 0.6272  8 Tb 3.15-3.40
Bi 0.9957 0.6228 0.8736  8 Tb 3.15-3.40